Record 1
LiPdF | PBE-GGA | relaxed

Results
Formation energy from raw total energies in eV/atom: -1.389
E_tot in eV/f.u.: -13.1
Symmetry: P6_3/mmc
ΔE to the lowest computed polymorph in meV per atom: 323

Cell: 2.958 2.958 10.840 Å, 90.00 90.00 120.00°
Element x y z (fractional)
Li  0.333  0.667  0.250
Li  0.667  0.333  0.750
Pd  0.000  0.000  0.000
Pd  0.000  0.000  0.500
F  0.000  0.000  0.250
F  0.000  0.000  0.750

---

Record 2
LiPdF | PBE-GGA | relaxed

Results
Formation energy from raw total energies in eV/atom: -0.769
E_tot in eV/f.u.: -11.3
Symmetry: P-6m2
ΔE to the lowest computed polymorph in meV per atom: 943

Cell: 4.030 4.030 2.870 Å, 90.00 90.00 120.00°
Element x y z (fractional)
Li  0.000  0.000  0.000
Pd  0.667  0.333  0.500
F  0.333  0.667  0.500

---

Record 3
Li3PdF6 | PBE-GGA | relaxed

Results
Formation energy from raw total energies in eV/atom: -2.106
E_tot in eV/f.u.: -43.2
Symmetry: Fmmm
ΔE to the lowest computed polymorph in meV per atom: 146

Cell: 6.419 6.252 4.952 Å, 68.79 65.22 45.98°
Element x y z (fractional)
Li  0.000  0.000  0.000
Li  0.250  0.250  0.250
Li  0.750  0.750  0.750
Pd  0.500  0.500  0.500
F  0.131  0.598  0.869
F  0.239  0.761  0.239
F  0.402  0.869  0.598
F  0.598  0.131  0.402
F  0.761  0.239  0.761
F  0.869  0.402  0.131

---

Record 4
Li2PdF6 | PBE-GGA | relaxed

Results
Formation energy from raw total energies in eV/atom: -2.077
E_tot in eV/f.u.: -38.9
Symmetry: P4_2/mnm

Cell: 4.718 4.718 9.224 Å, 90.00 90.00 90.00°
Element x y z (fractional)
Li  0.000  0.000  0.164
Li  0.000  0.000  0.836
Li  0.500  0.500  0.336
Li  0.500  0.500  0.664
Pd  0.000  0.000  0.500
Pd  0.500  0.500  0.000
F  0.193  0.193  0.340
F  0.193  0.193  0.660
F  0.207  0.207  0.000
F  0.293  0.707  0.500
F  0.307  0.693  0.160
F  0.307  0.693  0.840
F  0.693  0.307  0.160
F  0.693  0.307  0.840
F  0.707  0.293  0.500
F  0.793  0.793  0.000
F  0.807  0.807  0.340
F  0.807  0.807  0.660

---

Record 5
Li3PdF | PBE-GGA | relaxed

Results
Formation energy from raw total energies in eV/atom: -0.562
E_tot in eV/f.u.: -15.6
Symmetry: Pm-3m
ΔE to the lowest computed polymorph in meV per atom: 705

Cell: 4.728 4.728 4.728 Å, 90.00 90.00 90.00°
Element x y z (fractional)
Li  0.000  0.000  0.500
Li  0.000  0.500  0.000
Li  0.500  0.000  0.000
Pd  0.000  0.000  0.000
F  0.500  0.500  0.500

---

Record 6
LiPd3F | PBE-GGA | relaxed

Results
Formation energy from raw total energies in eV/atom: 0.430
E_tot in eV/f.u.: -17.2
Symmetry: Pm-3m
ΔE to the lowest computed polymorph in meV per atom: 349

Cell: 4.311 4.311 4.311 Å, 90.00 90.00 90.00°
Element x y z (fractional)
Li  0.000  0.000  0.000
Pd  0.000  0.000  0.500
Pd  0.000  0.500  0.000
Pd  0.500  0.000  0.000
F  0.500  0.500  0.500

---

Record 7
LiPdF | PBE-GGA | relaxed

Results
Formation energy from raw total energies in eV/atom: -1.399
E_tot in eV/f.u.: -13.2
Symmetry: P6_3mc
ΔE to the lowest computed polymorph in meV per atom: 313

Cell: 2.829 2.829 11.186 Å, 90.00 90.00 120.00°
Element x y z (fractional)
Li  0.000  0.000  0.000
Li  0.000  0.000  0.500
Pd  0.333  0.667  0.227
Pd  0.667  0.333  0.727
F  0.333  0.667  0.943
F  0.667  0.333  0.443

---

Record 8
LiPdF | PBE-GGA | relaxed

Results
Formation energy from raw total energies in eV/atom: -1.553
E_tot in eV/f.u.: -13.6
Symmetry: P1
ΔE to the lowest computed polymorph in meV per atom: 160

Cell: 3.043 3.737 7.614 Å, 90.03 91.91 90.01°
Element x y z (fractional)
Li  0.000  0.000  0.000
Li  0.490  0.500  0.871
Pd  0.036  0.016  0.496
Pd  0.525  0.516  0.372
F  0.002  0.500  0.019
F  0.487  0.000  0.851